Computed, not measured: NaNiS2O after structural relaxation at the PBE with a Hubbard U level of DFT.

DFT total energy = -2.884 eV/atom

The structure in extended XYZ format:
```
5
Lattice="4.234 0.000 0.000 0.000 5.735 0.000 0.000 0.000 4.234" Properties=species:S:1:pos:R:3 pbc="T T T"
Ni 0.000 0.000 0.000
S 0.000 0.000 2.117
S 2.117 0.000 0.000
O 2.117 2.868 2.117
Na 0.000 2.868 0.000
```